Compound: SrZnSe2
Source: Alexandria via LeMat-Bulk
Functional: GGA-PBE
Structure: relaxed

Total magnetic moment   0.0000 μB per atom
Total DFT energy (no corrections)   -29.18 eV/cell

a = 7.632 Å, b = 4.630 Å, c = 6.882 Å
α = 90.00°, β = 93.90°, γ = 90.00°
Sites, in units of the cell vectors:
Sr 0.000 0.000 0.000
Sr 0.500 0.500 0.000
Zn 0.000 0.500 0.500
Zn 0.500 0.000 0.500
Se 0.183 0.500 0.248
Se 0.317 0.000 0.752
Se 0.683 0.000 0.248
Se 0.817 0.500 0.752



Compound: SrZnSe
Source: Alexandria via LeMat-Bulk
Functional: GGA-PBE
Structure: relaxed

Total magnetic moment   0.0000 μB per atom
Distance to the lowest polymorph of the same formula   376.0 meV/atom

a = 7.365 Å, b = 7.365 Å, c = 7.365 Å
α = 90.00°, β = 90.00°, γ = 90.00°
Sites, in units of the cell vectors:
Sr 0.000 0.000 0.000
Sr 0.000 0.500 0.500
Sr 0.500 0.000 0.500
Sr 0.500 0.500 0.000
Zn 0.000 0.000 0.500
Zn 0.000 0.500 0.000
Zn 0.500 0.000 0.000
Zn 0.500 0.500 0.500
Se 0.250 0.250 0.250
Se 0.250 0.750 0.750
Se 0.750 0.250 0.750
Se 0.750 0.750 0.250



Compound: SrZn2Se
Source: Alexandria via LeMat-Bulk
Functional: GGA-PBE
Structure: relaxed

Total magnetic moment   0.0000 μB per atom
Total DFT energy (no corrections)   -20.46 eV/cell

a = 8.410 Å, b = 4.188 Å, c = 6.014 Å
α = 90.00°, β = 102.02°, γ = 90.00°
Sites, in units of the cell vectors:
Sr 0.000 0.000 0.000
Sr 0.500 0.500 0.000
Zn 0.091 0.500 0.627
Zn 0.281 0.000 0.609
Zn 0.591 0.000 0.627
Zn 0.781 0.500 0.609
Se 0.229 0.500 0.272
Se 0.729 0.000 0.272



Compound: SrZn2Se
Source: Alexandria via LeMat-Bulk
Functional: GGA-PBE
Structure: relaxed

Total magnetic moment   0.0000 μB per atom
Total DFT energy (no corrections)   -19.99 eV/cell

a = 4.200 Å, b = 4.200 Å, c = 11.989 Å
α = 90.00°, β = 90.00°, γ = 90.00°
Sites, in units of the cell vectors:
Sr 0.000 0.000 0.000
Sr 0.500 0.500 0.500
Zn 0.000 0.500 0.250
Zn 0.000 0.500 0.750
Zn 0.500 0.000 0.250
Zn 0.500 0.000 0.750
Se 0.000 0.000 0.500
Se 0.500 0.500 0.000



Compound: SrZnSe
Source: Alexandria via LeMat-Bulk
Functional: GGA-PBE
Structure: relaxed

Total magnetic moment   0.0000 μB per atom
Distance to the lowest polymorph of the same formula   320.5 meV/atom

a = 7.274 Å, b = 7.274 Å, c = 7.274 Å
α = 90.00°, β = 90.00°, γ = 90.00°
Sites, in units of the cell vectors:
Sr 0.000 0.000 0.000
Sr 0.000 0.500 0.500
Sr 0.500 0.000 0.500
Sr 0.500 0.500 0.000
Zn 0.250 0.250 0.750
Zn 0.250 0.750 0.250
Zn 0.750 0.250 0.250
Zn 0.750 0.750 0.750
Se 0.250 0.250 0.250
Se 0.250 0.750 0.750
Se 0.750 0.250 0.750
Se 0.750 0.750 0.250



Compound: Sr2ZnSe3
Source: Alexandria via LeMat-Bulk
Functional: GGA-PBE
Structure: relaxed

Total magnetic moment   0.0000 μB per atom
Total DFT energy (no corrections)   -98.02 eV/cell

a = 8.926 Å, b = 4.267 Å, c = 17.232 Å
α = 90.00°, β = 90.00°, γ = 90.00°
Sites, in units of the cell vectors:
Sr 0.079 0.250 0.215
Sr 0.247 0.250 0.961
Sr 0.253 0.750 0.461
Sr 0.421 0.750 0.715
Sr 0.579 0.250 0.285
Sr 0.747 0.250 0.539
Sr 0.753 0.750 0.039
Sr 0.921 0.750 0.785
Zn 0.131 0.250 0.635
Zn 0.369 0.750 0.135
Zn 0.631 0.250 0.865
Zn 0.869 0.750 0.365
Se 0.008 0.250 0.401
Se 0.122 0.750 0.071
Se 0.184 0.250 0.777
Se 0.316 0.750 0.277
Se 0.378 0.250 0.571
Se 0.492 0.750 0.901
Se 0.508 0.250 0.099
Se 0.622 0.750 0.429
Se 0.684 0.250 0.723
Se 0.816 0.750 0.223
Se 0.878 0.250 0.929
Se 0.992 0.750 0.599



Compound: SrZnSe2
Source: Alexandria via LeMat-Bulk
Functional: GGA-PBE
Structure: relaxed

Total magnetic moment   0.0000 μB per atom
Total DFT energy (no corrections)   -43.87 eV/cell

a = 4.832 Å, b = 4.832 Å, c = 22.341 Å
α = 90.00°, β = 90.00°, γ = 120.00°
Sites, in units of the cell vectors:
Sr 0.000 0.000 0.000
Sr 0.333 0.667 0.667
Sr 0.667 0.333 0.333
Zn 0.000 0.000 0.500
Zn 0.333 0.667 0.167
Zn 0.667 0.333 0.833
Se 0.000 0.000 0.399
Se 0.000 0.000 0.601
Se 0.333 0.667 0.066
Se 0.333 0.667 0.268
Se 0.667 0.333 0.732
Se 0.667 0.333 0.934



Compound: SrZnSe2
Source: Alexandria via LeMat-Bulk
Functional: GGA-PBE
Structure: relaxed

Total magnetic moment   0.0000 μB per atom
Total DFT energy (no corrections)   -13.16 eV/cell

a = 5.034 Å, b = 5.034 Å, c = 3.746 Å
α = 90.00°, β = 90.00°, γ = 90.00°
Sites, in units of the cell vectors:
Sr 0.000 0.000 0.000
Zn 0.500 0.500 0.000
Se 0.000 0.500 0.500
Se 0.500 0.000 0.500



> Which value of total magnetic moment does entry 5 give?

0.0000 μB per atom